Sc2RhI after structural relaxation. Source: the Alexandria database, functional GGA-PBEsol.

## Properties
Its density of states at the Fermi level is 1.198 states/eV per atom. The calculation puts the raw formation energy at 0.060 eV/atom. The spin magnetization is 0.01 μB per cell. For the total energy, the calculation gives -22.87 eV per cell.

The structure in POSCAR format:
```
Sc2RhI
1.0
-2.0858 0.9555 -2.4519
-2.4159 -2.0799 -1.0546
-7.2892 3.1546 5.1309
I Sc Rh
1 2 1
direct
0.5000 0.5000 0.5000 I
0.0831 0.0831 0.7508 Sc
0.9169 0.9169 0.2492 Sc
0.0000 0.0000 0.0000 Rh
```

=====

PAu3N after structural relaxation. Source: the Alexandria database, functional GGA-PBEsol.

## Properties
Its density of states at the Fermi level is 0.656 states/eV per atom. The calculation puts the raw formation energy at 1.021 eV/atom. The spin magnetization is 0.00 μB per cell. For the total energy, the calculation gives -20.99 eV per cell.

The structure in POSCAR format:
```
PAu3N
1.0
4.3094 0.0000 0.0000
0.0000 4.3094 0.0000
0.0000 0.0000 4.3094
P Au N
1 3 1
direct
0.5000 0.5000 0.5000 P
0.5000 0.0000 0.0000 Au
0.0000 0.5000 0.0000 Au
0.0000 0.0000 0.5000 Au
0.0000 0.0000 0.0000 N
```

=====

Hf5ZnSb3 after structural relaxation. Source: the Alexandria database, functional GGA-PBEsol.

## Properties
Its density of states at the Fermi level is 0.451 states/eV per atom. The calculation puts the raw formation energy at -0.571 eV/atom. The spin magnetization is 0.00 μB per cell. For the total energy, the calculation gives -145.81 eV per cell.

The structure in POSCAR format:
```
Hf5ZnSb3
1.0
-0.2228 5.5954 1.0787
-1.8631 -1.6390 8.1172
8.0974 0.7890 -2.4200
Hf Sb Zn
10 6 2
direct
0.5000 0.6667 0.3333 Hf
0.2500 0.2689 0.2689 Hf
0.0000 0.6667 0.3333 Hf
0.7500 0.2689 0.0000 Hf
0.0000 0.3333 0.6667 Hf
0.2500 0.7311 0.0000 Hf
0.7500 0.7311 0.7311 Hf
0.2500 0.0000 0.7311 Hf
0.5000 0.3333 0.6667 Hf
0.7500 0.0000 0.2689 Hf
0.2500 0.6141 0.6141 Sb
0.7500 0.6141 0.0000 Sb
0.7500 0.0000 0.6141 Sb
0.2500 0.0000 0.3859 Sb
0.2500 0.3859 0.0000 Sb
0.7500 0.3859 0.3859 Sb
0.5000 0.0000 0.0000 Zn
0.0000 0.0000 0.0000 Zn
```

=====

Rb4TmI6 after structural relaxation. Source: the Alexandria database, functional GGA-PBEsol.

## Properties
Its density of states at the Fermi level is 0.468 states/eV per atom. The calculation puts the raw formation energy at -1.339 eV/atom. The spin magnetization is 2.05 μB per cell. For the total energy, the calculation gives -68.66 eV per cell.

The structure in POSCAR format:
```
Rb4TmI6
1.0
9.8502 0.0675 0.0677
0.0402 9.8504 0.0677
0.0402 0.0403 9.8505
I Rb Tm
12 8 2
direct
0.2932 0.9412 0.0688 I
0.4412 0.7932 0.5688 I
0.7068 0.0588 0.9312 I
0.0688 0.2932 0.9412 I
0.7932 0.5688 0.4412 I
0.0588 0.9312 0.7068 I
0.5688 0.4412 0.7932 I
0.9312 0.7068 0.0588 I
0.5588 0.2068 0.4312 I
0.2068 0.4312 0.5588 I
0.9412 0.0688 0.2932 I
0.4312 0.5588 0.2068 I
0.7500 0.3698 0.1302 Rb
0.6302 0.8698 0.2500 Rb
0.7500 0.7500 0.7500 Rb
0.2500 0.6302 0.8698 Rb
0.2500 0.2500 0.2500 Rb
0.8698 0.2500 0.6302 Rb
0.1302 0.7500 0.3698 Rb
0.3698 0.1302 0.7500 Rb
0.0000 0.0000 0.0000 Tm
0.5000 0.5000 0.5000 Tm
```

=====

Li3VF8 after structural relaxation. Source: the Alexandria database, functional GGA-PBEsol.

## Properties
Its density of states at the Fermi level is 0.000 states/eV per atom. The calculation puts the raw formation energy at -2.797 eV/atom. The spin magnetization is 0.11 μB per cell. As for the energy above the most stable polymorph in this dataset: 0 meV per atom. For the total energy, the calculation gives -64.52 eV per cell.

The structure in POSCAR format:
```
Li3VF8
1.0
-2.6861 3.3567 -3.1443
-0.3305 -5.2902 -2.4744
-2.7588 -0.0844 5.1575
V F Li
1 8 3
direct
0.0000 0.0000 0.0000 V
0.3945 0.1572 0.1572 F
0.0000 0.1866 0.8134 F
0.6055 0.8428 0.8428 F
0.5000 0.6902 0.3098 F
0.5000 0.3098 0.6902 F
0.9915 0.7339 0.7339 F
0.0000 0.8134 0.1866 F
0.0085 0.2661 0.2661 F
0.5000 0.5000 0.0000 Li
0.5000 0.5000 0.5000 Li
0.5000 0.0000 0.5000 Li
```

=====

KRb2Na after structural relaxation. Source: the Alexandria database, functional GGA-PBEsol.

## Properties
Its density of states at the Fermi level is 0.752 states/eV per atom. The spin magnetization is 0.00 μB per cell. The calculation puts the formation energy at 31 kJ/mol of formula units. As for the energy above the most stable polymorph in this dataset: 55 meV per atom. For the total energy, the calculation gives -8.53 eV per cell.

The structure in POSCAR format:
```
KRb2Na
1.0
8.6159 0.0000 0.0000
4.3079 8.1096 0.0000
4.3079 0.0000 8.1096
Rb Na K
4 2 2
direct
0.1561 0.4689 0.9689 Rb
0.3750 0.0311 0.4689 Rb
0.5939 0.5311 0.0311 Rb
0.8750 0.9689 0.5311 Rb
0.2500 0.5000 0.5000 Na
0.5000 0.0000 0.0000 Na
0.0000 0.0000 0.0000 K
0.7500 0.5000 0.5000 K
```

=====

HgRhO2F after structural relaxation. Source: the Alexandria database, functional GGA-PBEsol.

## Properties
Its density of states at the Fermi level is 1.580 states/eV per atom. The calculation puts the raw formation energy at 0.636 eV/atom. The spin magnetization is 2.92 μB per cell. For the total energy, the calculation gives -17.95 eV per cell.

The structure in POSCAR format:
```
HgRhO2F
1.0
-1.4765 3.3566 -1.9647
-2.1438 -2.4559 -2.5846
-3.3208 0.0973 2.6619
F O Hg Rh
1 2 1 1
direct
0.0000 0.0000 0.5000 F
0.5000 0.0000 0.0000 O
0.0000 0.5000 0.0000 O
0.0000 0.0000 0.0000 Hg
0.5000 0.5000 0.5000 Rh
```

=====

TaNiPb2 after structural relaxation. Source: the Alexandria database, functional GGA-PBEsol.

## Properties
Its density of states at the Fermi level is 0.527 states/eV per atom. The spin magnetization is 0.00 μB per cell. The calculation puts the formation energy at 216 kJ/mol of formula units. As for the energy above the most stable polymorph in this dataset: 152 meV per atom. For the total energy, the calculation gives -24.47 eV per cell.

The structure in POSCAR format:
```
TaNiPb2
1.0
3.9927 0.0000 0.0000
0.0000 3.9927 0.0000
-1.9964 -1.9964 4.8413
Pb Ni Ta
2 1 1
direct
0.0000 0.0000 0.0000 Pb
0.7500 0.2500 0.5000 Pb
0.2500 0.7500 0.5000 Ni
0.5000 0.5000 0.0000 Ta
```

=====

Number 1 is which compound? Sc2RhI